# 1
SrLa2Ru PBE-GGA optimized geometry; energy relative to the elements = 33 meV per atom; theoretical density = 5.942 g/cm³; E = -20.68 eV/cell; ΔE to the lowest computed polymorph = 0.211 eV/atom
1.0
7.053 0.004 0.006
3.852 5.908 -0.006
-4.875 -4.022 3.132
La Ru Sr
2 1 1
direct
0.996 0.996 0.000 La
0.672 0.172 0.500 La
0.523 0.523 0.000 Ru
0.309 0.809 0.500 Sr

***

# 2
SrLa2Ru PBE-GGA optimized geometry; energy relative to the elements = 86 meV per atom; theoretical density = 6.083 g/cm³; E = -20.47 eV/cell; ΔE to the lowest computed polymorph = 0.264 eV/atom
1.0
-2.317 2.746 0.423
-2.098 -2.091 2.077
4.897 2.917 7.884
La Ru Sr
2 1 1
direct
0.000 0.000 0.028 La
0.500 0.500 0.323 La
0.000 0.000 0.466 Ru
0.500 0.500 0.682 Sr

***

# 3
SrLa2Ru2 PBE-GGA optimized geometry; energy relative to the elements = 159 meV per atom; theoretical density = 6.603 g/cm³; E = -29.30 eV/cell; ΔE to the lowest computed polymorph = 0.148 eV/atom
1.0
4.533 0.000 0.000
0.000 4.533 0.000
2.267 2.267 6.946
Ru Sr La
2 1 2
direct
0.750 0.250 0.500 Ru
0.250 0.750 0.500 Ru
0.000 0.000 0.000 Sr
0.360 0.360 0.281 La
0.640 0.640 0.719 La

***

> Among the records above, which one has the lowest E?

SrLa2Ru2